# K2NbCuAs, optimized geometry, DFT PBE
# calculated volume: 40.063 A^3/atom
# density of states at the Fermi level: 0.475 states/eV/atom
# formation enthalpy at 0 K: 0.646 eV per atom
data_K2NbCuAs
_chemical_formula_sum 'K2 Nb1 Cu1 As1'
_space_group_name_H-M_alt 'P 1'
_space_group_IT_number 1
_cell_length_a 6.3162
_cell_length_b 6.3162
_cell_length_c 5.0211
_cell_angle_alpha 90.00
_cell_angle_beta 90.00
_cell_angle_gamma 90.00
loop_
_space_group_symop_operation_xyz
'x,y,z'
loop_
_atom_site_label
_atom_site_fract_x
_atom_site_fract_y
_atom_site_fract_z
K1 0.0000 0.5000 0.0000
K2 0.5000 0.0000 0.0000
Nb1 0.0000 0.0000 0.5000
Cu1 0.5000 0.5000 0.5000
As1 0.0000 0.0000 0.0000

# K2CuAsO4, optimized geometry, DFT PBE
# calculated volume: 16.067 A^3/atom
# density of states at the Fermi level: 0.337 states/eV/atom
# formation energy (no corrections): -1345 meV/atom
data_K2CuAsO4
_chemical_formula_sum 'K2 Cu1 As1 O4'
_space_group_name_H-M_alt 'P 1'
_space_group_IT_number 1
_cell_length_a 5.5536
_cell_length_b 5.5536
_cell_length_c 5.5536
_cell_angle_alpha 115.04
_cell_angle_beta 115.04
_cell_angle_gamma 98.83
loop_
_space_group_symop_operation_xyz
'x,y,z'
loop_
_atom_site_label
_atom_site_fract_x
_atom_site_fract_y
_atom_site_fract_z
K1 0.0000 0.0000 0.0000
K2 0.7500 0.2500 0.5000
Cu1 0.2500 0.7500 0.5000
As1 0.5000 0.5000 0.0000
O1 0.2361 0.5699 0.0769
O2 0.4301 0.5070 0.6662
O3 0.4930 0.1592 0.9231
O4 0.8408 0.7639 0.3338

# K2Cu2AsO6, optimized geometry, DFT PBE
# calculated volume: 14.529 A^3/atom
# density of states at the Fermi level: 0.672 states/eV/atom
# formation energy (no corrections): -1000 meV/atom
data_K2Cu2AsO6
_chemical_formula_sum 'K2 Cu2 As1 O6'
_space_group_name_H-M_alt 'P 1'
_space_group_IT_number 1
_cell_length_a 6.6075
_cell_length_b 6.6075
_cell_length_c 6.6075
_cell_angle_alpha 50.82
_cell_angle_beta 50.82
_cell_angle_gamma 50.82
loop_
_space_group_symop_operation_xyz
'x,y,z'
loop_
_atom_site_label
_atom_site_fract_x
_atom_site_fract_y
_atom_site_fract_z
K1 0.2085 0.2085 0.2085
K2 0.7915 0.7915 0.7915
Cu1 0.3916 0.3916 0.3916
Cu2 0.6084 0.6084 0.6084
As1 0.0000 0.0000 0.0000
O1 0.2162 0.2162 0.7717
O2 0.2162 0.7717 0.2162
O3 0.2283 0.7838 0.7838
O4 0.7717 0.2162 0.2162
O5 0.7838 0.2283 0.7838
O6 0.7838 0.7838 0.2283

# KCuAs2O6, optimized geometry, DFT PBE
# calculated volume: 16.945 A^3/atom
# formation energy (no corrections): -1177 meV/atom
data_KCuAs2O6
_chemical_formula_sum 'K2 Cu2 As4 O12'
_space_group_name_H-M_alt 'P 1'
_space_group_IT_number 1
_cell_length_a 8.2911
_cell_length_b 8.2911
_cell_length_c 5.0614
_cell_angle_alpha 97.72
_cell_angle_beta 97.72
_cell_angle_gamma 96.11
loop_
_space_group_symop_operation_xyz
'x,y,z'
loop_
_atom_site_label
_atom_site_fract_x
_atom_site_fract_y
_atom_site_fract_z
K1 0.1193 0.8807 0.7500
K2 0.8807 0.1193 0.2500
Cu1 0.3206 0.6794 0.2500
Cu2 0.6794 0.3206 0.7500
As1 0.2153 0.3720 0.8215
As2 0.3720 0.2153 0.3215
As3 0.6280 0.7847 0.6785
As4 0.7847 0.6280 0.1785
O1 0.0534 0.2283 0.7644
O2 0.1942 0.5704 0.9338
O3 0.2283 0.0534 0.2644
O4 0.3081 0.3893 0.5214
O5 0.3893 0.3081 0.0214
O6 0.4296 0.8058 0.5662
O7 0.5704 0.1942 0.4338
O8 0.6107 0.6919 0.9786
O9 0.6919 0.6107 0.4786
O10 0.7717 0.9466 0.7356
O11 0.8058 0.4296 0.0662
O12 0.9466 0.7717 0.2356

# KCu4As3O12, optimized geometry, DFT PBE
# calculated volume: 13.137 A^3/atom
# density of states at the Fermi level: 0.035 states/eV/atom
# formation energy (no corrections): -1011 meV/atom
data_KCu4As3O12
_chemical_formula_sum 'K2 Cu8 As6 O24'
_space_group_name_H-M_alt 'P 1'
_space_group_IT_number 1
_cell_length_a 8.8555
_cell_length_b 8.8555
_cell_length_c 7.6880
_cell_angle_alpha 110.23
_cell_angle_beta 110.23
_cell_angle_gamma 90.27
loop_
_space_group_symop_operation_xyz
'x,y,z'
loop_
_atom_site_label
_atom_site_fract_x
_atom_site_fract_y
_atom_site_fract_z
K1 0.0105 0.9895 0.7500
K2 0.9895 0.0105 0.2500
Cu1 0.0695 0.3823 0.6445
Cu2 0.2620 0.7380 0.2500
Cu3 0.3823 0.0695 0.1445
Cu4 0.4945 0.5055 0.7500
Cu5 0.5055 0.4945 0.2500
Cu6 0.6177 0.9305 0.8555
Cu7 0.7380 0.2620 0.7500
Cu8 0.9305 0.6177 0.3555
As1 0.1121 0.3533 0.1221
As2 0.2740 0.7260 0.7500
As3 0.3533 0.1121 0.6221
As4 0.6467 0.8879 0.3779
As5 0.7260 0.2740 0.2500
As6 0.8879 0.6467 0.8779
O1 0.0208 0.6859 0.1200
O2 0.0259 0.4167 0.3012
O3 0.1507 0.7506 0.5368
O4 0.1760 0.1851 0.6322
O5 0.1851 0.1760 0.1322
O6 0.2494 0.8493 0.9632
O7 0.2735 0.5012 0.1785
O8 0.2759 0.5211 0.7403
O9 0.3141 0.9792 0.3800
O10 0.4167 0.0259 0.8012
O11 0.4789 0.7241 0.7597
O12 0.4988 0.7265 0.3215
O13 0.5012 0.2735 0.6785
O14 0.5211 0.2759 0.2403
O15 0.5833 0.9741 0.1988
O16 0.6859 0.0208 0.6200
O17 0.7241 0.4789 0.2597
O18 0.7265 0.4988 0.8215
O19 0.7506 0.1507 0.0368
O20 0.8149 0.8240 0.8678
O21 0.8240 0.8149 0.3678
O22 0.8493 0.2494 0.4632
O23 0.9741 0.5833 0.6988
O24 0.9792 0.3141 0.8800

# K2Cu3As4O12, optimized geometry, DFT PBE
# calculated volume: 15.124 A^3/atom
# density of states at the Fermi level: 0.175 states/eV/atom
# formation energy (no corrections): -1173 meV/atom
data_K2Cu3As4O12
_chemical_formula_sum 'K2 Cu3 As4 O12'
_space_group_name_H-M_alt 'P 1'
_space_group_IT_number 1
_cell_length_a 6.0337
_cell_length_b 6.0337
_cell_length_c 11.6078
_cell_angle_alpha 108.48
_cell_angle_beta 108.48
_cell_angle_gamma 53.50
loop_
_space_group_symop_operation_xyz
'x,y,z'
loop_
_atom_site_label
_atom_site_fract_x
_atom_site_fract_y
_atom_site_fract_z
K1 0.1317 0.1317 0.4215
K2 0.8683 0.8683 0.5785
Cu1 0.2735 0.2735 0.7604
Cu2 0.5000 0.5000 0.0000
Cu3 0.7265 0.7265 0.2396
As1 0.1689 0.1689 0.0448
As2 0.4054 0.4054 0.3074
As3 0.5946 0.5946 0.6926
As4 0.8311 0.8311 0.9552
O1 0.0833 0.5959 0.3526
O2 0.1424 0.6259 0.8847
O3 0.3474 0.3474 0.1418
O4 0.3741 0.8576 0.1153
O5 0.4041 0.9167 0.6474
O6 0.4273 0.4273 0.6425
O7 0.5727 0.5727 0.3575
O8 0.5959 0.0833 0.3526
O9 0.6259 0.1424 0.8847
O10 0.6526 0.6526 0.8582
O11 0.8576 0.3741 0.1153
O12 0.9167 0.4041 0.6474

# K2CuAs2O6, optimized geometry, DFT PBE
# calculated volume: 15.594 A^3/atom
# density of states at the Fermi level: 0.264 states/eV/atom
# formation energy (no corrections): -1211 meV/atom
data_K2CuAs2O6
_chemical_formula_sum 'K2 Cu1 As2 O6'
_space_group_name_H-M_alt 'P 1'
_space_group_IT_number 1
_cell_length_a 6.7441
_cell_length_b 6.7441
_cell_length_c 6.7441
_cell_angle_alpha 51.13
_cell_angle_beta 51.13
_cell_angle_gamma 51.13
loop_
_space_group_symop_operation_xyz
'x,y,z'
loop_
_atom_site_label
_atom_site_fract_x
_atom_site_fract_y
_atom_site_fract_z
K1 0.2164 0.2164 0.2164
K2 0.7836 0.7836 0.7836
Cu1 0.0000 0.0000 0.0000
As1 0.4276 0.4276 0.4276
As2 0.5724 0.5724 0.5724
O1 0.2408 0.2408 0.7424
O2 0.2408 0.7424 0.2408
O3 0.2576 0.7592 0.7592
O4 0.7424 0.2408 0.2408
O5 0.7592 0.2576 0.7592
O6 0.7592 0.7592 0.2576

# K2Rb4CuAs2, optimized geometry, DFT PBE
# calculated volume: 42.458 A^3/atom
# density of states at the Fermi level: 0.231 states/eV/atom
# formation enthalpy at 0 K: -0.174 eV per atom
data_K2Rb4CuAs2
_chemical_formula_sum 'K2 Rb4 Cu1 As2'
_space_group_name_H-M_alt 'P 1'
_space_group_IT_number 1
_cell_length_a 8.6354
_cell_length_b 8.6354
_cell_length_c 5.4255
_cell_angle_alpha 98.72
_cell_angle_beta 98.72
_cell_angle_gamma 74.15
loop_
_space_group_symop_operation_xyz
'x,y,z'
loop_
_atom_site_label
_atom_site_fract_x
_atom_site_fract_y
_atom_site_fract_z
K1 0.1659 0.1659 0.2319
K2 0.8341 0.8341 0.7681
Rb1 0.1660 0.5886 0.2965
Rb2 0.4114 0.8340 0.7035
Rb3 0.5886 0.1660 0.2965
Rb4 0.8340 0.4114 0.7035
Cu1 0.5000 0.5000 0.0000
As1 0.3295 0.3295 0.7923
As2 0.6705 0.6705 0.2077

Q: Which value of calculated volume does entry 1 give?
A: 40.063 A^3/atom

Q: What is the calculated volume in the seventh record?
A: 15.594 A^3/atom

Repeat the sixth record exactly.
# K2Cu3As4O12, optimized geometry, DFT PBE
# calculated volume: 15.124 A^3/atom
# density of states at the Fermi level: 0.175 states/eV/atom
# formation energy (no corrections): -1173 meV/atom
data_K2Cu3As4O12
_chemical_formula_sum 'K2 Cu3 As4 O12'
_space_group_name_H-M_alt 'P 1'
_space_group_IT_number 1
_cell_length_a 6.0337
_cell_length_b 6.0337
_cell_length_c 11.6078
_cell_angle_alpha 108.48
_cell_angle_beta 108.48
_cell_angle_gamma 53.50
loop_
_space_group_symop_operation_xyz
'x,y,z'
loop_
_atom_site_label
_atom_site_fract_x
_atom_site_fract_y
_atom_site_fract_z
K1 0.1317 0.1317 0.4215
K2 0.8683 0.8683 0.5785
Cu1 0.2735 0.2735 0.7604
Cu2 0.5000 0.5000 0.0000
Cu3 0.7265 0.7265 0.2396
As1 0.1689 0.1689 0.0448
As2 0.4054 0.4054 0.3074
As3 0.5946 0.5946 0.6926
As4 0.8311 0.8311 0.9552
O1 0.0833 0.5959 0.3526
O2 0.1424 0.6259 0.8847
O3 0.3474 0.3474 0.1418
O4 0.3741 0.8576 0.1153
O5 0.4041 0.9167 0.6474
O6 0.4273 0.4273 0.6425
O7 0.5727 0.5727 0.3575
O8 0.5959 0.0833 0.3526
O9 0.6259 0.1424 0.8847
O10 0.6526 0.6526 0.8582
O11 0.8576 0.3741 0.1153
O12 0.9167 0.4041 0.6474